1.
! NpZnCl5 | Alexandria via LeMat-Bulk | GGA-PBE | optimized geometry; values from VASP
! SG: C2/c
! E: -4.79 eV/atom
! Formation energy from raw total energies: -1.44 eV/atom
&SYSTEM
  ibrav = 0, nat = 14, ntyp = 3
/
ATOMIC_SPECIES
Np 237.00 Np.upf
Zn 65.41 Zn.upf
Cl 35.45 Cl.upf
CELL_PARAMETERS angstrom
5.3220 -4.9479 0.0000
5.3220 4.9479 0.0000
-4.9849 0.0000 8.8469
ATOMIC_POSITIONS crystal
Np 0.0000 0.5000 0.0000
Np 0.5000 0.0000 0.5000
Zn 0.1374 0.8626 0.7500
Zn 0.8626 0.1374 0.2500
Cl 0.1491 0.1817 0.4538
Cl 0.1692 0.5991 0.8313
Cl 0.1817 0.1491 0.9538
Cl 0.3251 0.6749 0.2500
Cl 0.4009 0.8308 0.6687
Cl 0.5991 0.1692 0.3313
Cl 0.6749 0.3251 0.7500
Cl 0.8183 0.8509 0.0462
Cl 0.8308 0.4009 0.1687
Cl 0.8509 0.8183 0.5462

2.
! NpZnCl6 | Alexandria via LeMat-Bulk | GGA-PBE | optimized geometry; values from VASP
! SG: R-3
! E: -4.53 eV/atom
! Formation energy from raw total energies: -1.36 eV/atom
! Energy relative to the lowest polymorph listed for this composition: 0.009 eV per atom
&SYSTEM
  ibrav = 0, nat = 8, ntyp = 3
/
ATOMIC_SPECIES
Np 237.00 Np.upf
Zn 65.41 Zn.upf
Cl 35.45 Cl.upf
CELL_PARAMETERS angstrom
3.2485 1.8755 5.8893
-3.2485 1.8755 5.8893
0.0000 -3.7510 5.8893
ATOMIC_POSITIONS crystal
Np 0.0000 0.0000 0.0000
Zn 0.5000 0.5000 0.5000
Cl 0.1143 0.7434 0.3998
Cl 0.2566 0.6002 0.8857
Cl 0.3998 0.1143 0.7434
Cl 0.6002 0.8857 0.2566
Cl 0.7434 0.3998 0.1143
Cl 0.8857 0.2566 0.6002

3.
! NpZnCl6 | Alexandria via LeMat-Bulk | GGA-PBE | optimized geometry; values from VASP
! SG: C2/m
! E: -4.53 eV/atom
! Formation energy from raw total energies: -1.37 eV/atom
! Energy relative to the lowest polymorph listed for this composition: 0.000 eV per atom
&SYSTEM
  ibrav = 0, nat = 8, ntyp = 3
/
ATOMIC_SPECIES
Np 237.00 Np.upf
Zn 65.41 Zn.upf
Cl 35.45 Cl.upf
CELL_PARAMETERS angstrom
3.4991 -5.9736 0.0000
3.4991 5.9736 0.0000
-0.3855 0.0000 6.4646
ATOMIC_POSITIONS crystal
Np 0.0000 0.0000 0.0000
Zn 0.0000 0.0000 0.5000
Cl 0.0011 0.7135 0.2547
Cl 0.2839 0.2839 0.2821
Cl 0.2865 0.9989 0.7453
Cl 0.7135 0.0011 0.2547
Cl 0.7161 0.7161 0.7179
Cl 0.9989 0.2865 0.7453

4.
! OsCl3O | Alexandria via LeMat-Bulk | GGA-PBE | optimized geometry; values from VASP
! SG: Pm-3m
! E: -3.51 eV/atom
! Formation energy from raw total energies: 0.84 eV/atom
! Energy relative to the lowest polymorph listed for this composition: 1.203 eV per atom
&SYSTEM
  ibrav = 0, nat = 5, ntyp = 3
/
ATOMIC_SPECIES
Os 190.23 Os.upf
Cl 35.45 Cl.upf
O 16.00 O.upf
CELL_PARAMETERS angstrom
4.6699 0.0000 0.0000
0.0000 4.6699 0.0000
0.0000 0.0000 4.6699
ATOMIC_POSITIONS crystal
Os 0.0000 0.0000 0.0000
Cl 0.0000 0.0000 0.5000
Cl 0.0000 0.5000 0.0000
Cl 0.5000 0.0000 0.0000
O 0.5000 0.5000 0.5000

5.
! OsCl3O | Alexandria via LeMat-Bulk | GGA-PBE | optimized geometry; values from VASP
! SG: Cmcm
! E: -4.71 eV/atom
! Formation energy from raw total energies: -0.36 eV/atom
! Energy relative to the lowest polymorph listed for this composition: 0.000 eV per atom
&SYSTEM
  ibrav = 0, nat = 10, ntyp = 3
/
ATOMIC_SPECIES
Os 190.23 Os.upf
Cl 35.45 Cl.upf
O 16.00 O.upf
CELL_PARAMETERS angstrom
2.4011 -5.8077 0.0000
2.4011 5.8077 0.0000
0.0000 0.0000 11.9889
ATOMIC_POSITIONS crystal
Os 0.0656 0.9344 0.7500
Os 0.9344 0.0656 0.2500
Cl 0.1543 0.8457 0.5838
Cl 0.1543 0.8457 0.9162
Cl 0.3905 0.6095 0.2500
Cl 0.6095 0.3905 0.7500
Cl 0.8457 0.1543 0.0838
Cl 0.8457 0.1543 0.4162
O 0.0810 0.9190 0.2500
O 0.9190 0.0810 0.7500

6.
! OsCl2O | Alexandria via LeMat-Bulk | GGA-PBE | optimized geometry; values from VASP
! SG: Fm-3m
! E: -3.78 eV/atom
! Formation energy from raw total energies: 1.19 eV/atom
! Energy relative to the lowest polymorph listed for this composition: 1.854 eV per atom
&SYSTEM
  ibrav = 0, nat = 4, ntyp = 3
/
ATOMIC_SPECIES
Os 190.23 Os.upf
Cl 35.45 Cl.upf
O 16.00 O.upf
CELL_PARAMETERS angstrom
0.0000 2.9760 2.9760
2.9760 0.0000 2.9760
2.9760 2.9760 0.0000
ATOMIC_POSITIONS crystal
Os 0.0000 0.0000 0.0000
Cl 0.2500 0.2500 0.2500
Cl 0.7500 0.7500 0.7500
O 0.5000 0.5000 0.5000

7.
! OsCl2O | Alexandria via LeMat-Bulk | GGA-PBE | optimized geometry; values from VASP
! SG: Immm
! E: -5.63 eV/atom
! Formation energy from raw total energies: -0.66 eV/atom
! Energy relative to the lowest polymorph listed for this composition: 0.000 eV per atom
&SYSTEM
  ibrav = 0, nat = 4, ntyp = 3
/
ATOMIC_SPECIES
Os 190.23 Os.upf
Cl 35.45 Cl.upf
O 16.00 O.upf
CELL_PARAMETERS angstrom
-1.8144 1.8636 6.3359
1.8144 -1.8636 6.3359
1.8144 1.8636 -6.3359
ATOMIC_POSITIONS crystal
Os 0.0000 0.0000 0.0000
Cl 0.1250 0.6250 0.5000
Cl 0.8750 0.3750 0.5000
O 0.5000 0.0000 0.5000

8.
! Os2ClO | Alexandria via LeMat-Bulk | GGA-PBE | optimized geometry; values from VASP
! SG: Fm-3m
! E: -5.82 eV/atom
! Formation energy from raw total energies: 1.50 eV/atom
! Energy relative to the lowest polymorph listed for this composition: 0.804 eV per atom
&SYSTEM
  ibrav = 0, nat = 4, ntyp = 3
/
ATOMIC_SPECIES
Os 190.23 Os.upf
Cl 35.45 Cl.upf
O 16.00 O.upf
CELL_PARAMETERS angstrom
0.0000 2.9208 2.9208
2.9208 0.0000 2.9208
2.9208 2.9208 0.0000
ATOMIC_POSITIONS crystal
Os 0.2500 0.2500 0.2500
Os 0.7500 0.7500 0.7500
Cl 0.0000 0.0000 0.0000
O 0.5000 0.5000 0.5000

9.
! OsCl4O | Alexandria via LeMat-Bulk | GGA-PBE | optimized geometry; values from VASP
! SG: P2_1/c
! E: -4.44 eV/atom
! Formation energy from raw total energies: -0.51 eV/atom
&SYSTEM
  ibrav = 0, nat = 24, ntyp = 3
/
ATOMIC_SPECIES
Os 190.23 Os.upf
Cl 35.45 Cl.upf
O 16.00 O.upf
CELL_PARAMETERS angstrom
10.6332 0.0000 0.0000
0.0000 6.0083 0.0000
-4.8740 0.0000 11.9375
ATOMIC_POSITIONS crystal
Os 0.2249 0.1319 0.4796
Os 0.2249 0.3681 0.9796
Os 0.7751 0.6319 0.0204
Os 0.7751 0.8681 0.5204
Cl 0.1145 0.6399 0.8554
Cl 0.1145 0.8601 0.3554
Cl 0.2503 0.6349 0.1111
Cl 0.2503 0.8651 0.6111
Cl 0.2990 0.2422 0.3442
Cl 0.2990 0.2578 0.8442
Cl 0.4309 0.2471 0.0996
Cl 0.4309 0.2529 0.5996
Cl 0.5691 0.7471 0.4004
Cl 0.5691 0.7529 0.9004
Cl 0.7010 0.7422 0.1558
Cl 0.7010 0.7578 0.6558
Cl 0.7497 0.1349 0.3889
Cl 0.7497 0.3651 0.8889
Cl 0.8855 0.1399 0.6446
Cl 0.8855 0.3601 0.1446
O 0.1080 0.1848 0.9843
O 0.1080 0.3152 0.4843
O 0.8920 0.6848 0.5157
O 0.8920 0.8152 0.0157

10.
! OsCl3O | Alexandria via LeMat-Bulk | GGA-PBE | optimized geometry; values from VASP
! SG: Pm-3m
! E: -2.81 eV/atom
! Formation energy from raw total energies: 1.54 eV/atom
! Energy relative to the lowest polymorph listed for this composition: 1.901 eV per atom
&SYSTEM
  ibrav = 0, nat = 5, ntyp = 3
/
ATOMIC_SPECIES
Os 190.23 Os.upf
Cl 35.45 Cl.upf
O 16.00 O.upf
CELL_PARAMETERS angstrom
4.4905 0.0000 0.0000
0.0000 4.4905 0.0000
0.0000 0.0000 4.4905
ATOMIC_POSITIONS crystal
Os 0.0000 0.0000 0.0000
Cl 0.0000 0.5000 0.5000
Cl 0.5000 0.0000 0.5000
Cl 0.5000 0.5000 0.0000
O 0.5000 0.5000 0.5000

11.
! Os2ClO | Alexandria via LeMat-Bulk | GGA-PBE | optimized geometry; values from VASP
! SG: I-42d
! E: -6.62 eV/atom
! Formation energy from raw total energies: 0.70 eV/atom
! Energy relative to the lowest polymorph listed for this composition: 0.000 eV per atom
&SYSTEM
  ibrav = 0, nat = 8, ntyp = 3
/
ATOMIC_SPECIES
Os 190.23 Os.upf
Cl 35.45 Cl.upf
O 16.00 O.upf
CELL_PARAMETERS angstrom
-2.0321 2.0321 7.1635
2.0321 -2.0321 7.1635
2.0321 2.0321 -7.1635
ATOMIC_POSITIONS crystal
Os 0.0409 0.6250 0.9159
Os 0.3750 0.2909 0.4159
Os 0.7091 0.1250 0.0841
Os 0.8750 0.9591 0.5841
Cl 0.2500 0.7500 0.5000
Cl 0.5000 0.5000 0.0000
O 0.0000 0.0000 0.0000
O 0.7500 0.2500 0.5000

12.
! OsCl2O | Alexandria via LeMat-Bulk | GGA-PBE | optimized geometry; values from VASP
! SG: I-42d
! E: -3.95 eV/atom
! Formation energy from raw total energies: 1.02 eV/atom
! Energy relative to the lowest polymorph listed for this composition: 1.682 eV per atom
&SYSTEM
  ibrav = 0, nat = 8, ntyp = 3
/
ATOMIC_SPECIES
Os 190.23 Os.upf
Cl 35.45 Cl.upf
O 16.00 O.upf
CELL_PARAMETERS angstrom
-3.0537 3.0537 3.7086
3.0537 -3.0537 3.7086
3.0537 3.0537 -3.7086
ATOMIC_POSITIONS crystal
Os 0.0000 0.0000 0.0000
Os 0.7500 0.2500 0.5000
Cl 0.1023 0.1250 0.4773
Cl 0.3750 0.8977 0.0227
Cl 0.6477 0.6250 0.5227
Cl 0.8750 0.3523 0.9773
O 0.2500 0.7500 0.5000
O 0.5000 0.5000 0.0000

Copy entry 1 word for word.
! NpZnCl5 | Alexandria via LeMat-Bulk | GGA-PBE | optimized geometry; values from VASP
! SG: C2/c
! E: -4.79 eV/atom
! Formation energy from raw total energies: -1.44 eV/atom
&SYSTEM
  ibrav = 0, nat = 14, ntyp = 3
/
ATOMIC_SPECIES
Np 237.00 Np.upf
Zn 65.41 Zn.upf
Cl 35.45 Cl.upf
CELL_PARAMETERS angstrom
5.3220 -4.9479 0.0000
5.3220 4.9479 0.0000
-4.9849 0.0000 8.8469
ATOMIC_POSITIONS crystal
Np 0.0000 0.5000 0.0000
Np 0.5000 0.0000 0.5000
Zn 0.1374 0.8626 0.7500
Zn 0.8626 0.1374 0.2500
Cl 0.1491 0.1817 0.4538
Cl 0.1692 0.5991 0.8313
Cl 0.1817 0.1491 0.9538
Cl 0.3251 0.6749 0.2500
Cl 0.4009 0.8308 0.6687
Cl 0.5991 0.1692 0.3313
Cl 0.6749 0.3251 0.7500
Cl 0.8183 0.8509 0.0462
Cl 0.8308 0.4009 0.1687
Cl 0.8509 0.8183 0.5462

Q: Which formula does entry 5 have?
A: OsCl3O